No. 1
Th4Ge6Ru7: relaxed, PBE.

The structure in POSCAR format:
```
Th4Ge6Ru7
1.0
-4.278 4.278 4.278
4.278 -4.278 4.278
4.278 4.278 -4.278
Th Ge Ru
4 6 7
Cartesian
2.139 2.139 -2.139
2.139 -2.139 2.139
-2.139 2.139 2.139
2.139 2.139 2.139
2.743 0.000 0.000
5.812 0.000 0.000
0.000 2.743 0.000
0.000 0.000 2.743
0.000 5.812 0.000
0.000 0.000 5.812
0.000 0.000 0.000
4.278 2.139 0.000
4.278 0.000 2.139
2.139 4.278 0.000
2.139 0.000 4.278
0.000 4.278 2.139
0.000 2.139 4.278
```

Output
ρ: 11.0 g cm⁻³
DFT total energy: -134.308 eV per cell
E_form: -0.705 eV per atom
DOS at the Fermi energy: 0.758 states/eV/atom

***

No. 2
Th3Ge3Ru2: relaxed, PBE.

The structure in POSCAR format:
```
Th3Ge3Ru2
1.0
8.063 0.000 0.000
0.000 15.070 0.000
0.000 0.000 5.768
Th Ge Ru
12 12 8
Cartesian
0.282 1.652 0.697
0.282 5.883 0.697
1.446 3.767 3.636
2.586 11.302 0.753
3.749 9.187 3.581
3.749 13.418 3.581
4.314 1.652 2.187
4.314 5.883 2.187
5.478 3.767 5.015
6.617 11.302 2.131
7.781 9.187 5.071
7.781 13.418 5.071
1.423 11.302 3.568
1.524 0.555 3.546
1.524 6.980 3.546
2.508 8.090 0.662
2.508 14.514 0.662
2.608 3.767 0.684
5.455 11.302 5.084
5.556 0.555 5.106
5.556 6.980 5.106
6.539 8.090 2.222
6.539 14.514 2.222
6.640 3.767 2.200
0.757 9.171 2.166
0.757 13.434 2.166
3.275 1.636 5.050
3.275 5.899 5.050
4.789 9.171 0.718
4.789 13.434 0.718
7.306 1.636 3.602
7.306 5.899 3.602
```

Output
ρ: 10.6 g cm⁻³
DFT total energy: -240.212 eV per cell
E_form: -0.674 eV per atom
energy above the lowest structure with this stoichiometry: 0.931 kcal/mol of atoms
DOS at the Fermi energy: 0.825 states/eV/atom

***

No. 3
ThGe3Ru3: relaxed, PBE.

The structure in POSCAR format:
```
ThGe3Ru3
1.0
6.664 0.000 0.000
0.000 6.664 0.000
0.000 0.000 6.664
Th Ge Ru
2 6 6
Cartesian
0.000 0.000 0.000
3.332 3.332 3.332
0.000 1.666 3.332
0.000 4.998 3.332
1.666 3.332 0.000
3.332 0.000 1.666
3.332 0.000 4.998
4.998 3.332 0.000
0.000 3.332 1.666
0.000 3.332 4.998
1.666 0.000 3.332
3.332 1.666 0.000
3.332 4.998 0.000
4.998 0.000 3.332
```

Output
ρ: 8.5 g cm⁻³
DFT total energy: -96.605 eV per cell
E_form: 0.114 eV per atom
energy above the lowest structure with this stoichiometry: 7.477 kcal/mol of atoms
DOS at the Fermi energy: 0.922 states/eV/atom

***

No. 4
Th3Ge3Ru: relaxed, PBE.

The structure in POSCAR format:
```
Th3Ge3Ru
1.0
5.480 -2.143 0.000
5.480 2.143 0.000
-5.258 0.000 14.097
Th Ge Ru
6 6 2
Cartesian
-1.707 0.000 5.417
-3.716 0.000 13.011
1.406 0.000 3.336
4.297 0.000 10.760
9.418 0.000 1.086
7.410 0.000 8.680
1.421 0.000 6.525
-0.672 0.000 13.057
1.210 0.000 10.762
4.493 0.000 3.335
6.374 0.000 1.040
4.281 0.000 7.572
-0.495 0.000 8.751
6.197 0.000 5.345
```

Output
ρ: 10.2 g cm⁻³
DFT total energy: -100.709 eV per cell
E_form: -0.710 eV per atom
DOS at the Fermi energy: 0.884 states/eV/atom

***

No. 5
Th2GeRu2: relaxed, PBE.

The structure in POSCAR format:
```
Th2GeRu2
1.0
5.148 -2.745 0.000
5.148 2.745 0.000
-2.442 0.000 7.644
Th Ge Ru
4 2 4
Cartesian
1.551 1.912 6.516
5.082 1.912 4.949
2.772 -1.912 2.694
6.303 -1.912 1.128
4.538 0.698 1.911
3.317 -0.698 5.733
2.656 0.798 3.622
6.419 0.798 0.200
1.435 -0.798 7.443
5.198 -0.798 4.022
```

Output
ρ: 11.4 g cm⁻³
DFT total energy: -81.988 eV per cell
E_form: -0.597 eV per atom
energy above the lowest structure with this stoichiometry: 0.000 kcal/mol of atoms
DOS at the Fermi energy: 0.724 states/eV/atom

***

No. 6
Th2Ge3Ru: relaxed, PBE.

The structure in POSCAR format:
```
Th2Ge3Ru
1.0
4.020 0.000 0.000
0.000 4.477 0.000
0.000 0.000 7.321
Th Ge Ru
2 3 1
Cartesian
0.000 0.000 0.000
0.000 2.239 3.470
2.010 0.000 4.729
2.010 2.239 1.132
2.010 2.239 5.944
2.010 0.000 2.261
```

Output
ρ: 9.9 g cm⁻³
DFT total energy: -42.010 eV per cell
E_form: -0.674 eV per atom
energy above the lowest structure with this stoichiometry: 0.481 kcal/mol of atoms
DOS at the Fermi energy: 0.499 states/eV/atom

***

No. 7
Th5Ge5Ru2: relaxed, PBE.

The structure in POSCAR format:
```
Th5Ge5Ru2
1.0
7.861 -2.095 0.000
7.861 2.095 0.000
-7.646 0.000 8.666
Th Ge Ru
5 5 2
Cartesian
0.000 0.000 0.000
1.529 0.000 3.592
4.500 0.000 1.623
3.575 0.000 7.043
6.546 0.000 5.074
-3.823 0.000 4.333
-1.516 0.000 2.717
-1.961 0.000 7.507
10.036 0.000 1.159
9.591 0.000 5.949
0.352 0.000 6.407
7.723 0.000 2.258
```

Output
ρ: 10.0 g cm⁻³
DFT total energy: -86.788 eV per cell
E_form: -0.671 eV per atom
DOS at the Fermi energy: 0.836 states/eV/atom

***

No. 8
Th3Ge2Ru: relaxed, PBE.

The structure in POSCAR format:
```
Th3Ge2Ru
1.0
11.958 0.000 0.000
0.000 4.308 0.000
0.000 0.000 11.714
Th Ge Ru
12 8 4
Cartesian
0.615 1.077 1.529
1.465 3.231 6.526
2.661 1.077 9.381
3.317 3.231 3.524
4.514 1.077 0.669
5.364 3.231 7.386
6.594 1.077 4.328
7.444 3.231 11.045
8.640 1.077 8.190
9.296 3.231 2.333
10.492 1.077 5.188
11.343 3.231 10.185
0.152 3.231 3.667
2.236 3.231 0.050
3.743 1.077 5.907
5.827 1.077 9.524
6.131 3.231 2.190
8.214 3.231 5.807
9.722 1.077 11.664
11.806 1.077 8.047
1.577 1.077 4.361
4.401 3.231 10.218
7.556 1.077 1.496
10.380 3.231 7.353
```

Output
ρ: 10.4 g cm⁻³
DFT total energy: -179.670 eV per cell
E_form: -0.691 eV per atom
energy above the lowest structure with this stoichiometry: 0.000 kcal/mol of atoms
DOS at the Fermi energy: 0.922 states/eV/atom

***

No. 9
ThGe2Ru: relaxed, PBE.

The structure in POSCAR format:
```
ThGe2Ru
1.0
-2.183 4.572 8.098
2.183 -4.572 8.098
2.183 4.572 -8.098
Th Ge Ru
4 8 4
Cartesian
0.000 0.000 3.400
0.000 2.181 0.000
0.000 6.964 0.000
0.000 0.000 12.796
2.183 0.000 1.257
2.183 -1.446 4.902
0.000 0.000 6.824
2.183 1.446 4.902
0.000 3.126 3.196
0.000 0.000 9.373
0.000 6.019 3.196
0.000 4.572 6.842
2.183 2.310 -2.318
2.183 2.310 2.318
0.000 2.262 5.780
0.000 2.262 10.416
```

Output
ρ: 9.8 g cm⁻³
DFT total energy: -114.517 eV per cell
E_form: -0.675 eV per atom
DOS at the Fermi energy: 0.580 states/eV/atom

***

No. 10
Th2Ge5Ru3: relaxed, PBE.

The structure in POSCAR format:
```
Th2Ge5Ru3
1.0
-5.057 6.177 2.987
5.057 -6.177 2.987
5.057 6.177 -2.987
Th Ge Ru
4 10 6
Cartesian
2.329 1.681 0.000
2.329 -1.681 2.987
2.728 7.858 0.000
2.728 4.496 2.987
5.057 -2.665 1.494
6.704 1.157 0.000
0.000 0.000 1.494
1.647 5.020 0.000
5.057 2.665 1.494
0.000 3.512 1.494
3.410 1.157 2.987
0.000 0.000 4.481
-1.647 5.020 2.987
0.000 8.842 1.494
3.982 -4.369 2.987
5.057 0.000 1.494
3.982 4.369 0.000
1.075 1.808 2.987
0.000 6.177 1.494
1.075 10.546 0.000
```

Output
ρ: 10.1 g cm⁻³
DFT total energy: -144.680 eV per cell
E_form: -0.659 eV per atom
DOS at the Fermi energy: 0.505 states/eV/atom

***

No. 11
Th3Ge2Ru: relaxed, PBE.

The structure in POSCAR format:
```
Th3Ge2Ru
1.0
6.745 -2.982 0.000
6.745 2.982 0.000
-2.656 0.000 8.036
Th Ge Ru
6 4 2
Cartesian
4.753 2.844 6.027
2.235 0.004 7.423
3.563 -0.004 3.406
7.271 0.004 4.630
8.599 -0.004 0.612
6.081 -2.844 2.009
0.800 0.004 4.721
2.128 -0.004 0.703
8.706 0.004 7.332
10.034 -0.004 3.315
4.753 0.024 6.027
6.081 -0.024 2.009
```

Output
ρ: 9.7 g cm⁻³
DFT total energy: -88.143 eV per cell
E_form: -0.550 eV per atom
energy above the lowest structure with this stoichiometry: 3.251 kcal/mol of atoms
DOS at the Fermi energy: 0.419 states/eV/atom

***

No. 12
Th3Ge3Ru2: relaxed, PBE.

The structure in POSCAR format:
```
Th3Ge3Ru2
1.0
2.119 -5.520 0.000
2.119 5.520 0.000
0.000 0.000 15.398
Th Ge Ru
6 6 4
Cartesian
2.119 4.480 11.548
2.119 1.508 9.129
2.119 1.508 13.967
2.119 -1.508 1.430
2.119 -1.508 6.269
2.119 -4.480 3.849
2.119 4.542 8.473
2.119 4.542 14.623
2.119 3.449 3.849
2.119 -3.449 11.548
2.119 -4.542 0.775
2.119 -4.542 6.924
2.119 1.654 1.940
2.119 1.654 5.759
2.119 -1.654 9.639
2.119 -1.654 13.458
```

Output
ρ: 10.3 g cm⁻³
DFT total energy: -120.752 eV per cell
E_form: -0.714 eV per atom
energy above the lowest structure with this stoichiometry: 0.000 kcal/mol of atoms
DOS at the Fermi energy: 0.522 states/eV/atom

***

No. 13
Th4Ge8Ru: relaxed, PBE.

The structure in POSCAR format:
```
Th4Ge8Ru
1.0
4.158 0.000 0.000
0.000 4.230 0.000
0.000 0.000 16.772
Th Ge Ru
4 8 1
Cartesian
0.000 0.000 0.000
0.000 2.115 8.284
2.079 0.000 13.146
2.079 2.115 4.744
0.000 0.000 5.665
0.000 0.000 10.520
0.000 2.115 2.375
0.000 2.115 14.231
2.079 0.000 2.379
2.079 0.000 7.352
2.079 2.115 10.501
2.079 2.115 15.813
0.000 2.115 11.802
```

Output
ρ: 9.1 g cm⁻³
DFT total energy: -83.877 eV per cell
E_form: -0.614 eV per atom
DOS at the Fermi energy: 0.516 states/eV/atom

***

No. 14
ThGe3Ru5: relaxed, PBE.

The structure in POSCAR format:
```
ThGe3Ru5
1.0
1.557 -6.750 0.000
1.557 6.750 0.000
0.000 0.000 14.292
Th Ge Ru
2 6 10
Cartesian
1.557 4.861 10.719
1.557 -4.861 3.573
1.557 4.858 3.573
1.557 1.815 0.718
1.557 1.815 6.428
1.557 -1.815 7.864
1.557 -1.815 13.574
1.557 -4.858 10.719
0.000 0.000 0.000
0.000 0.000 7.146
1.557 4.175 1.186
1.557 4.175 5.960
1.557 0.386 9.307
1.557 0.386 12.132
1.557 -0.386 2.160
1.557 -0.386 4.986
1.557 -4.175 8.332
1.557 -4.175 13.106
```

Output
ρ: 10.6 g cm⁻³
DFT total energy: -138.524 eV per cell
E_form: -0.179 eV per atom
DOS at the Fermi energy: 0.983 states/eV/atom

***

No. 15
Th2Zn2Ge4Ru: relaxed, PBE.

The structure in POSCAR format:
```
Th2Zn2Ge4Ru
1.0
-3.169 3.169 4.383
3.169 -3.169 4.383
3.169 3.169 -4.383
Th Zn Ge Ru
2 2 4 1
Cartesian
3.169 0.000 2.191
0.000 3.169 2.191
0.000 0.000 1.823
0.000 0.000 6.942
1.407 1.407 0.000
1.762 -1.762 4.383
-1.762 1.762 4.383
1.762 1.762 4.383
0.000 0.000 4.383
```

Output
ρ: 9.3 g cm⁻³
DFT total energy: -49.224 eV per cell
E_form: -0.455 eV per atom
DOS at the Fermi energy: 0.395 states/eV/atom

***

No. 16
Ti2Ge2Ru3: relaxed, PBE.

The structure in POSCAR format:
```
Ti2Ge2Ru3
1.0
3.748 -2.207 0.000
3.748 2.207 0.000
-3.593 0.000 6.486
Ti Ge Ru
2 2 3
Cartesian
-0.540 0.000 2.248
4.442 0.000 4.238
1.936 0.000 0.783
1.967 0.000 5.703
-0.551 0.000 4.960
1.951 0.000 3.243
4.454 0.000 1.526
```

Output
ρ: 8.4 g cm⁻³
DFT total energy: -56.393 eV per cell
E_form: -0.506 eV per atom
DOS at the Fermi energy: 0.108 states/eV/atom

***

No. 17
Ti3Ge3Ru: relaxed, PBE.

The structure in POSCAR format:
```
Ti3Ge3Ru
1.0
7.245 0.000 0.000
-3.622 6.274 0.000
0.000 0.000 4.972
Ti Ge Ru
6 6 2
Cartesian
-0.968 2.823 1.243
-0.693 5.701 1.243
1.961 2.250 3.729
1.661 4.024 1.243
4.316 0.573 3.729
4.590 3.451 3.729
-0.564 1.696 3.729
-1.871 5.915 3.729
1.187 1.337 1.243
2.436 4.937 3.729
5.493 0.359 1.243
4.187 4.578 1.243
0.000 4.183 3.729
3.622 2.091 1.243
```

Output
ρ: 6.8 g cm⁻³
DFT total energy: -99.141 eV per cell
E_form: -0.394 eV per atom
DOS at the Fermi energy: 0.769 states/eV/atom

***

No. 18
Ti2GeRu2: relaxed, PBE.

The structure in POSCAR format:
```
Ti2GeRu2
1.0
7.124 0.000 0.000
0.000 7.124 0.000
0.000 0.000 3.084
Ti Ge Ru
4 2 4
Cartesian
1.140 2.422 0.000
2.422 5.984 0.000
4.702 1.140 0.000
5.984 4.702 0.000
0.000 0.000 1.542
3.562 3.562 1.542
1.006 4.568 1.542
2.556 1.006 1.542
4.568 6.118 1.542
6.118 2.556 1.542
```

Output
ρ: 7.9 g cm⁻³
DFT total energy: -81.085 eV per cell
E_form: -0.317 eV per atom
DOS at the Fermi energy: 0.977 states/eV/atom

***

No. 19
Ti2GeRu: relaxed, PBE.

The structure in POSCAR format:
```
Ti2GeRu
1.0
1.507 0.870 8.126
-1.507 0.870 8.126
0.000 -1.740 8.126
Ti Ge Ru
2 1 1
Cartesian
0.000 0.000 6.003
0.000 0.000 18.374
0.000 0.000 0.000
0.000 0.000 12.189
```

Output
ρ: 7.0 g cm⁻³
DFT total energy: -30.916 eV per cell
E_form: -0.308 eV per atom
DOS at the Fermi energy: 0.849 states/eV/atom